# 1
# Y2TaMn, optimized geometry, DFT PBE
# energy relative to the elements: 0.473 eV/atom
# ρ: 7.39 g/cm3
# crystal system: orthorhombic
data_Y2TaMn
_chemical_formula_sum 'Y4 Ta2 Mn2'
_cell_length_a 6.7752
_cell_length_b 8.4201
_cell_length_c 3.2580
_cell_angle_alpha 90.00
_cell_angle_beta 90.00
_cell_angle_gamma 90.00
_symmetry_space_group_name_H-M 'C m m m'
_symmetry_Int_Tables_number 65
_symmetry_space_group_name_Hall '-C 2 2'
loop_
_atom_site_label
_atom_site_fract_x
_atom_site_fract_y
_atom_site_fract_z
_atom_site_occupancy
Y1 0.2500 0.2500 0.0000 1
Ta1 0.0000 0.0000 0.5000 1
Mn1 0.0000 0.5000 0.5000 1


# 2
# Rb3BeAu, optimized geometry, DFT PBE
# energy relative to the elements: 0.506 eV/atom
# ρ: 2.66 g/cm3
# crystal system: cubic
data_Rb3BeAu
_chemical_formula_sum 'Rb3 Be1 Au1'
_cell_length_a 6.6081
_cell_length_b 6.6081
_cell_length_c 6.6081
_cell_angle_alpha 90.00
_cell_angle_beta 90.00
_cell_angle_gamma 90.00
_symmetry_space_group_name_H-M 'P m -3 m'
_symmetry_Int_Tables_number 221
_symmetry_space_group_name_Hall '-P 4 2 3'
loop_
_atom_site_label
_atom_site_fract_x
_atom_site_fract_y
_atom_site_fract_z
_atom_site_occupancy
Rb1 0.0000 0.0000 0.5000 1
Be1 0.5000 0.5000 0.5000 1
Au1 0.0000 0.0000 0.0000 1


# 3
# K3TiIn3O8, optimized geometry, DFT PBE
# raw formation energy: -1.8563 eV/atom
# ρ: 4.58 g/cm3
# crystal system: trigonal
data_K3TiIn3O8
_chemical_formula_sum 'K9 Ti3 In9 O24'
_cell_length_a 6.5203
_cell_length_b 6.5203
_cell_length_c 18.8505
_cell_angle_alpha 90.00
_cell_angle_beta 90.00
_cell_angle_gamma 120.00
_symmetry_space_group_name_H-M 'R -3 m'
_symmetry_Int_Tables_number 166
_symmetry_space_group_name_Hall '-R 3 2"'
loop_
_atom_site_label
_atom_site_fract_x
_atom_site_fract_y
_atom_site_fract_z
_atom_site_occupancy
K1 0.0000 0.5000 0.0000 1
Ti1 0.0000 0.0000 0.5000 1
In1 0.0000 0.5000 0.5000 1
O1 0.0000 0.0000 0.2264 1
O2 0.0299 0.5150 0.2245 1


# 4
# Ho4ErSc5, optimized geometry, DFT PBE
# energy relative to the elements: 0.254 eV/atom
# ρ: 6.00 g/cm3
# crystal system: monoclinic
data_Ho4ErSc5
_chemical_formula_sum 'Ho8 Er2 Sc10'
_cell_length_a 14.6636
_cell_length_b 5.3198
_cell_length_c 9.6704
_cell_angle_alpha 90.00
_cell_angle_beta 129.49
_cell_angle_gamma 90.00
_symmetry_space_group_name_H-M 'C 1 2/m 1'
_symmetry_Int_Tables_number 12
loop_
_symmetry_equiv_pos_as_xyz
'x,y,z'
'-x,-y,-z'
'-x,y,-z'
'x,-y,z'
'x+1/2,y+1/2,z'
'-x+1/2,-y+1/2,-z'
'-x+1/2,y+1/2,-z'
'x+1/2,-y+1/2,z'
loop_
_atom_site_label
_atom_site_fract_x
_atom_site_fract_y
_atom_site_fract_z
_atom_site_occupancy
Ho1 0.2466 0.0000 0.1284 1
Ho2 0.2477 0.5000 0.3698 1
Er1 0.0000 0.5000 0.5000 1
Sc1 0.0000 0.0000 0.0000 1
Sc2 0.0505 0.0000 0.7103 1
Sc3 0.0524 0.5000 0.9008 1


# 5
# LaAs3Pd3, optimized geometry, DFT PBE
# energy relative to the elements: -0.467 eV/atom
# ρ: 7.08 g/cm3
# crystal system: cubic
data_LaAs3Pd3
_chemical_formula_sum 'La2 As6 Pd6'
_cell_length_a 6.8429
_cell_length_b 6.8429
_cell_length_c 6.8429
_cell_angle_alpha 90.00
_cell_angle_beta 90.00
_cell_angle_gamma 90.00
_symmetry_space_group_name_H-M 'P m -3 n'
_symmetry_Int_Tables_number 223
_symmetry_space_group_name_Hall '-P 4n 2 3'
loop_
_atom_site_label
_atom_site_fract_x
_atom_site_fract_y
_atom_site_fract_z
_atom_site_occupancy
La1 0.0000 0.0000 0.0000 1
As1 0.0000 0.2500 0.5000 1
Pd1 0.0000 0.5000 0.2500 1


# 6
# Tm4Os, optimized geometry, DFT PBE
# energy relative to the elements: -0.179 eV/atom
# ρ: 10.17 g/cm3
# crystal system: tetragonal
data_Tm4Os
_chemical_formula_sum 'Tm16 Os4'
_cell_length_a 8.5386
_cell_length_b 8.5386
_cell_length_c 7.7551
_cell_angle_alpha 90.00
_cell_angle_beta 90.00
_cell_angle_gamma 90.00
_symmetry_space_group_name_H-M 'I -4 2 d'
_symmetry_Int_Tables_number 122
_symmetry_space_group_name_Hall 'I -4 2bw'
loop_
_atom_site_label
_atom_site_fract_x
_atom_site_fract_y
_atom_site_fract_z
_atom_site_occupancy
Tm1 0.0151 0.1943 0.3285 1
Os1 0.0000 0.0000 0.0000 1